The following is a PBE+U calculation of a relaxed structure of MoO2F2, from Alexandria via LeMat-Bulk.

N(E_F): 6.09 states/eV/f.u.
DFT total energy: -5.50 eV/atom
size of the total moment: 0.37 μB per formula unit
space-group type: P4/mmm, No. 123

```
data_MoO2F2
_chemical_formula_sum 'Mo1 O2 F2'
_cell_length_a 3.804
_cell_length_b 3.804
_cell_length_c 4.036
_cell_angle_alpha 90.00
_cell_angle_beta 90.00
_cell_angle_gamma 90.00
_space_group_name_H-M_alt 'P 1'
_space_group_IT_number 1
_space_group_name_Hall 'P 1'
loop_
_atom_site_label
_atom_site_type_symbol
_atom_site_fract_x
_atom_site_fract_y
_atom_site_fract_z
Mo1 Mo 0.000 0.000 0.000
O1 O 0.000 0.500 0.000
O2 O 0.500 0.000 0.000
F1 F 0.500 0.500 0.500
F2 F 0.000 0.000 0.500
```